Zr2SiPtBr | PBEsol | optimized geometry Values from VASP.

Quantum ESPRESSO input file:
```
&SYSTEM
  ibrav = 0, nat = 5, ntyp = 4
/
ATOMIC_SPECIES
Si 28.09 Si.upf
Br 79.90 Br.upf
Zr 91.22 Zr.upf
Pt 195.08 Pt.upf
CELL_PARAMETERS angstrom
-3.348 -0.552 2.714
-2.305 -2.877 -3.429
2.232 -4.082 1.924
ATOMIC_POSITIONS crystal
Si 0.000 0.000 0.000
Br 0.500 0.500 0.500
Zr 0.000 0.000 0.500
Zr 0.000 0.500 0.000
Pt 0.500 0.000 0.000
```

Formation energy without anion corrections: 31 meV/atom
Total energy: -32.60 eV/cell
Total magnetization: 0.00 μB per formula unit
Space group: P4/mmm